# 1
Computed, not measured: an optimized crystal structure of LaScNi17 at the PBE level of DFT.

```
data_LaScNi17
_chemical_formula_sum 'La1 Sc1 Ni17'
_cell_length_a 6.2529
_cell_length_b 6.2529
_cell_length_c 6.2529
_cell_angle_alpha 83.03
_cell_angle_beta 83.03
_cell_angle_gamma 83.03
_symmetry_space_group_name_H-M 'P 1'
_symmetry_Int_Tables_number 1
loop_
_symmetry_equiv_pos_as_xyz
'x,y,z'
loop_
_atom_site_label
_atom_site_type_symbol
_atom_site_fract_x
_atom_site_fract_y
_atom_site_fract_z
La1 La 0.0000 0.0000 0.0000
Sc1 Sc 0.3231 0.3231 0.3231
Ni1 Ni 0.0063 0.0063 0.5000
Ni2 Ni 0.0063 0.5000 0.0063
Ni3 Ni 0.1565 0.6567 0.6567
Ni4 Ni 0.3142 0.3142 0.8054
Ni5 Ni 0.3142 0.8054 0.3142
Ni6 Ni 0.3645 0.6538 0.9519
Ni7 Ni 0.3645 0.9519 0.6538
Ni8 Ni 0.5000 0.0063 0.0063
Ni9 Ni 0.5548 0.5548 0.5548
Ni10 Ni 0.6538 0.3645 0.9519
Ni11 Ni 0.6538 0.9519 0.3645
Ni12 Ni 0.6567 0.1565 0.6567
Ni13 Ni 0.6567 0.6567 0.1565
Ni14 Ni 0.7535 0.7535 0.7535
Ni15 Ni 0.8054 0.3142 0.3142
Ni16 Ni 0.9519 0.3645 0.6538
Ni17 Ni 0.9519 0.6538 0.3645
```

E_form ... -2.909 eV/f.u.
Symmetry ... R3m
N(E_F) ... 1.4028 states/eV per atom
Uncorrected energy ... -112.5 eV/f.u.
Size of the total moment ... 7.134 Bohr magnetons per cell


# 2
Computed, not measured: an optimized crystal structure of LaScNi4 at the PBE level of DFT.

```
data_LaScNi4
_chemical_formula_sum 'La1 Sc1 Ni4'
_cell_length_a 5.0603
_cell_length_b 5.0603
_cell_length_c 5.0603
_cell_angle_alpha 60.00
_cell_angle_beta 60.00
_cell_angle_gamma 60.00
_symmetry_space_group_name_H-M 'P 1'
_symmetry_Int_Tables_number 1
loop_
_symmetry_equiv_pos_as_xyz
'x,y,z'
loop_
_atom_site_label
_atom_site_type_symbol
_atom_site_fract_x
_atom_site_fract_y
_atom_site_fract_z
La1 La 0.0000 0.0000 0.0000
Sc1 Sc 0.7500 0.7500 0.7500
Ni1 Ni 0.3762 0.3762 0.3762
Ni2 Ni 0.3762 0.3762 0.8714
Ni3 Ni 0.3762 0.8714 0.3762
Ni4 Ni 0.8714 0.3762 0.3762
```

E_form ... -2.270 eV/f.u.
Symmetry ... F-43m
N(E_F) ... 0.5248 states/eV per atom
Uncorrected energy ... -36.7 eV/f.u.
Size of the total moment ... 0.000 Bohr magnetons per cell


# 3
Computed, not measured: an optimized crystal structure of LaSc3Ni at the PBE level of DFT.

```
data_LaSc3Ni
_chemical_formula_sum 'La1 Sc3 Ni1'
_cell_length_a 5.0252
_cell_length_b 5.0252
_cell_length_c 5.0252
_cell_angle_alpha 90.00
_cell_angle_beta 90.00
_cell_angle_gamma 90.00
_symmetry_space_group_name_H-M 'P 1'
_symmetry_Int_Tables_number 1
loop_
_symmetry_equiv_pos_as_xyz
'x,y,z'
loop_
_atom_site_label
_atom_site_type_symbol
_atom_site_fract_x
_atom_site_fract_y
_atom_site_fract_z
La1 La 0.0000 0.0000 0.0000
Sc1 Sc 0.0000 0.5000 0.5000
Sc2 Sc 0.5000 0.0000 0.5000
Sc3 Sc 0.5000 0.5000 0.0000
Ni1 Ni 0.5000 0.5000 0.5000
```

E_form ... -0.645 eV/f.u.
Symmetry ... Pm-3m
N(E_F) ... 1.4507 states/eV per atom
Uncorrected energy ... -30.3 eV/f.u.
Size of the total moment ... 0.000 Bohr magnetons per cell


# 4
Computed, not measured: an optimized crystal structure of La3ScNi8 at the PBE level of DFT.

```
data_La3ScNi8
_chemical_formula_sum 'La3 Sc1 Ni8'
_cell_length_a 8.9255
_cell_length_b 8.9255
_cell_length_c 8.9255
_cell_angle_alpha 33.37
_cell_angle_beta 33.37
_cell_angle_gamma 33.37
_symmetry_space_group_name_H-M 'P 1'
_symmetry_Int_Tables_number 1
loop_
_symmetry_equiv_pos_as_xyz
'x,y,z'
loop_
_atom_site_label
_atom_site_type_symbol
_atom_site_fract_x
_atom_site_fract_y
_atom_site_fract_z
La1 La 0.0000 0.0000 0.0000
La2 La 0.1260 0.1260 0.1260
La3 La 0.5052 0.5052 0.5052
Sc1 Sc 0.6286 0.6286 0.6286
Ni1 Ni 0.0575 0.5639 0.5639
Ni2 Ni 0.0673 0.0673 0.5680
Ni3 Ni 0.0673 0.5680 0.0673
Ni4 Ni 0.3139 0.3139 0.3139
Ni5 Ni 0.5639 0.0575 0.5639
Ni6 Ni 0.5639 0.5639 0.0575
Ni7 Ni 0.5680 0.0673 0.0673
Ni8 Ni 0.8147 0.8147 0.8147
```

E_form ... -4.202 eV/f.u.
Symmetry ... R3m
N(E_F) ... 0.7027 states/eV per atom
Uncorrected energy ... -71.6 eV/f.u.
Size of the total moment ... 0.000 Bohr magnetons per cell


# 5
Computed, not measured: an optimized crystal structure of LaSc3Ni8 at the PBE level of DFT.

```
data_LaSc3Ni8
_chemical_formula_sum 'La1 Sc3 Ni8'
_cell_length_a 4.9716
_cell_length_b 4.9716
_cell_length_c 8.1736
_cell_angle_alpha 90.00
_cell_angle_beta 90.00
_cell_angle_gamma 120.00
_symmetry_space_group_name_H-M 'P 1'
_symmetry_Int_Tables_number 1
loop_
_symmetry_equiv_pos_as_xyz
'x,y,z'
loop_
_atom_site_label
_atom_site_type_symbol
_atom_site_fract_x
_atom_site_fract_y
_atom_site_fract_z
La1 La 0.0000 0.0000 0.0000
Sc1 Sc 0.0000 0.0000 0.3805
Sc2 Sc 0.6667 0.3333 0.4887
Sc3 Sc 0.6667 0.3333 0.8492
Ni1 Ni 0.1674 0.3347 0.6729
Ni2 Ni 0.1674 0.8326 0.6729
Ni3 Ni 0.3333 0.6667 0.4296
Ni4 Ni 0.3333 0.6667 0.9277
Ni5 Ni 0.5014 0.0029 0.1910
Ni6 Ni 0.5014 0.4986 0.1910
Ni7 Ni 0.6653 0.8326 0.6729
Ni8 Ni 0.9971 0.4986 0.1910
```

E_form ... -5.119 eV/f.u.
Symmetry ... P3m1
N(E_F) ... 0.7754 states/eV per atom
Uncorrected energy ... -75.3 eV/f.u.
Size of the total moment ... 0.000 Bohr magnetons per cell


# 6
Computed, not measured: an optimized crystal structure of La2ScNi at the PBE level of DFT.

```
data_La2ScNi
_chemical_formula_sum 'La2 Sc1 Ni1'
_cell_length_a 3.6893
_cell_length_b 5.0469
_cell_length_c 5.3435
_cell_angle_alpha 90.00
_cell_angle_beta 90.00
_cell_angle_gamma 90.00
_symmetry_space_group_name_H-M 'P 1'
_symmetry_Int_Tables_number 1
loop_
_symmetry_equiv_pos_as_xyz
'x,y,z'
loop_
_atom_site_label
_atom_site_type_symbol
_atom_site_fract_x
_atom_site_fract_y
_atom_site_fract_z
La1 La 0.0000 0.0000 0.0000
La2 La 0.5000 0.0000 0.5000
Sc1 Sc 0.0000 0.5000 0.5000
Ni1 Ni 0.5000 0.5000 0.0000
```

E_form ... 0.750 eV/f.u.
Symmetry ... Pmmm
N(E_F) ... 1.3156 states/eV per atom
Uncorrected energy ... -21.2 eV/f.u.
Size of the total moment ... 0.000 Bohr magnetons per cell


# 7
Computed, not measured: an optimized crystal structure of La2ScNi2 at the PBE level of DFT.

```
data_La2ScNi2
_chemical_formula_sum 'La4 Sc2 Ni4'
_cell_length_a 7.5607
_cell_length_b 7.5607
_cell_length_c 3.9923
_cell_angle_alpha 90.00
_cell_angle_beta 90.00
_cell_angle_gamma 90.00
_symmetry_space_group_name_H-M 'P 1'
_symmetry_Int_Tables_number 1
loop_
_symmetry_equiv_pos_as_xyz
'x,y,z'
loop_
_atom_site_label
_atom_site_type_symbol
_atom_site_fract_x
_atom_site_fract_y
_atom_site_fract_z
La1 La 0.1729 0.3271 0.0000
La2 La 0.3271 0.8271 0.0000
La3 La 0.6729 0.1729 0.0000
La4 La 0.8271 0.6729 0.0000
Sc1 Sc 0.0000 0.0000 0.5000
Sc2 Sc 0.5000 0.5000 0.5000
Ni1 Ni 0.1252 0.6252 0.5000
Ni2 Ni 0.3748 0.1252 0.5000
Ni3 Ni 0.6252 0.8748 0.5000
Ni4 Ni 0.8748 0.3748 0.5000
```

E_form ... -1.301 eV/f.u.
Symmetry ... P4/mbm
N(E_F) ... 1.0776 states/eV per atom
Uncorrected energy ... -29.0 eV/f.u.
Size of the total moment ... 0.000 Bohr magnetons per cell


# 8
Computed, not measured: an optimized crystal structure of La2ScNi at the PBE level of DFT.

```
data_La2ScNi
_chemical_formula_sum 'La2 Sc1 Ni1'
_cell_length_a 5.1467
_cell_length_b 5.1467
_cell_length_c 5.1467
_cell_angle_alpha 60.00
_cell_angle_beta 60.00
_cell_angle_gamma 60.00
_symmetry_space_group_name_H-M 'P 1'
_symmetry_Int_Tables_number 1
loop_
_symmetry_equiv_pos_as_xyz
'x,y,z'
loop_
_atom_site_label
_atom_site_type_symbol
_atom_site_fract_x
_atom_site_fract_y
_atom_site_fract_z
La1 La 0.0000 0.0000 0.0000
La2 La 0.2500 0.2500 0.2500
Sc1 Sc 0.5000 0.5000 0.5000
Ni1 Ni 0.7500 0.7500 0.7500
```

E_form ... 0.697 eV/f.u.
Symmetry ... F-43m
N(E_F) ... 1.7588 states/eV per atom
Uncorrected energy ... -21.3 eV/f.u.
Size of the total moment ... 1.056 Bohr magnetons per cell